Material: LaMgMn2Sn
Method: DFT, SCAN
State: PBEsol geometry

Lattice parameters (Å, degrees): 5.000 5.000 5.081 90.00 90.00 90.00
Atoms (fractional coordinates):
La: 0.000 0.000 0.000
Mg: 0.500 0.500 0.000
Mn: 0.000 0.500 0.500
Mn: 0.500 0.000 0.500
Sn: 0.500 0.500 0.500

Output
* density of states at the Fermi level: 4.44 states/eV per cell

Material: La2MgMo
Method: DFT, SCAN
State: PBEsol geometry

Lattice parameters (Å, degrees): 3.733 3.733 7.201 90.00 90.00 90.00
Atoms (fractional coordinates):
La: 0.000 0.000 0.000
La: 0.500 0.500 0.358
Mg: 0.000 0.000 0.592
Mo: 0.500 0.500 0.736

Output
* density of states at the Fermi level: 2.79 states/eV per cell

Material: La2MgMo
Method: DFT, SCAN
State: PBEsol geometry

Lattice parameters (Å, degrees): 3.436 4.910 6.030 90.00 103.26 90.00
Atoms (fractional coordinates):
La: 0.000 0.000 0.000
La: 0.255 0.500 0.619
Mg: 0.582 0.500 0.189
Mo: 0.466 0.000 0.459

Output
* density of states at the Fermi level: 2.80 states/eV per cell

Material: LaMgMo
Method: DFT, SCAN
State: PBEsol geometry

Lattice parameters (Å, degrees): 4.702 4.702 4.702 60.00 60.00 60.00
Atoms (fractional coordinates):
La: 0.000 0.000 0.000
Mg: 0.500 0.500 0.500
Mo: 0.250 0.250 0.250

Output
* density of states at the Fermi level: 4.01 states/eV per cell
* excess energy over the best structure of this formula in the dataset: 370 meV/atom

Material: La2MgMo
Method: DFT, SCAN
State: PBEsol geometry

Lattice parameters (Å, degrees): 3.182 3.182 10.682 90.00 90.00 114.03
Atoms (fractional coordinates):
La: 0.000 0.000 0.000
La: 0.500 0.500 0.320
Mg: 0.000 0.000 0.600
Mo: 0.500 0.500 0.807

Output
* density of states at the Fermi level: 3.56 states/eV per cell

Material: LaMgMo
Method: DFT, SCAN
State: PBEsol geometry

Lattice parameters (Å, degrees): 7.958 7.742 3.057 82.77 74.82 22.40
Atoms (fractional coordinates):
La: 0.000 0.000 0.000
Mg: 0.707 0.707 0.293
Mo: 0.353 0.353 0.647

Output
* density of states at the Fermi level: 3.00 states/eV per cell
* excess energy over the best structure of this formula in the dataset: 0 meV/atom

Material: LaMgSi2Mo
Method: DFT, SCAN
State: PBEsol geometry

Lattice parameters (Å, degrees): 4.688 4.688 4.920 90.00 90.00 90.00
Atoms (fractional coordinates):
La: 0.000 0.000 0.000
Mg: 0.500 0.500 0.000
Si: 0.000 0.500 0.500
Si: 0.500 0.000 0.500
Mo: 0.500 0.500 0.500

Output
* density of states at the Fermi level: 1.53 states/eV per cell
* formation energy without anion corrections: -0.114 eV per atom

Material: La3MgN
Method: DFT, SCAN
State: PBEsol geometry

Lattice parameters (Å, degrees): 5.099 5.099 5.099 90.00 90.00 90.00
Atoms (fractional coordinates):
La: 0.000 0.000 0.500
La: 0.000 0.500 0.000
La: 0.500 0.000 0.000
Mg: 0.500 0.500 0.500
N: 0.000 0.000 0.000

Output
* density of states at the Fermi level: 4.44 states/eV per cell
* formation energy without anion corrections: -0.733 eV per atom

Material: LaMgNO2
Method: DFT, SCAN
State: PBEsol geometry

Lattice parameters (Å, degrees): 3.927 3.927 3.950 90.00 90.00 90.00
Atoms (fractional coordinates):
La: 0.000 0.000 0.000
Mg: 0.500 0.500 0.500
N: 0.500 0.500 0.000
O: 0.000 0.500 0.500
O: 0.500 0.000 0.500

Output
* density of states at the Fermi level: 0.97 states/eV per cell
* formation energy without anion corrections: -1.879 eV per atom

Material: LaMgS2N
Method: DFT, SCAN
State: PBEsol geometry

Lattice parameters (Å, degrees): 4.816 4.816 4.013 90.00 90.00 90.00
Atoms (fractional coordinates):
La: 0.000 0.000 0.000
Mg: 0.500 0.500 0.500
S: 0.000 0.500 0.500
S: 0.500 0.000 0.500
N: 0.500 0.500 0.000

Output
* density of states at the Fermi level: 0.65 states/eV per cell
* formation energy without anion corrections: -1.011 eV per atom

Material: La2MgTcN
Method: DFT, SCAN
State: PBEsol geometry

Lattice parameters (Å, degrees): 5.580 5.580 3.591 90.00 90.00 90.00
Atoms (fractional coordinates):
La: 0.000 0.500 0.000
La: 0.500 0.000 0.000
Mg: 0.000 0.000 0.000
Tc: 0.500 0.500 0.500
N: 0.000 0.000 0.500

Output
* density of states at the Fermi level: 5.26 states/eV per cell
* formation energy without anion corrections: 0.848 eV per atom

Material: NaLa3Mg
Method: DFT, SCAN
State: PBEsol geometry

Lattice parameters (Å, degrees): 5.693 5.693 5.693 90.00 90.00 90.00
Atoms (fractional coordinates):
Na: 0.000 0.000 0.000
La: 0.000 0.000 0.500
La: 0.000 0.500 0.000
La: 0.500 0.000 0.000
Mg: 0.500 0.500 0.500

Output
* density of states at the Fermi level: 7.70 states/eV per cell

Material: NaLaMg30O32
Method: DFT, SCAN
State: PBEsol geometry

Lattice parameters (Å, degrees): 8.556 8.556 8.554 90.00 90.00 90.00
Atoms (fractional coordinates):
Na: 0.000 0.000 0.000
La: 0.500 0.500 0.000
Mg: 0.000 0.000 0.500
Mg: 0.000 0.247 0.250
Mg: 0.000 0.247 0.750
Mg: 0.000 0.500 0.000
Mg: 0.000 0.500 0.500
Mg: 0.000 0.753 0.250
Mg: 0.000 0.753 0.750
Mg: 0.240 0.240 0.000
Mg: 0.240 0.760 0.000
Mg: 0.241 0.500 0.258
Mg: 0.241 0.500 0.742
Mg: 0.247 0.000 0.250
Mg: 0.247 0.000 0.750
Mg: 0.248 0.248 0.500
Mg: 0.248 0.752 0.500
Mg: 0.500 0.000 0.000
Mg: 0.500 0.000 0.500
Mg: 0.500 0.241 0.258
Mg: 0.500 0.241 0.742
Mg: 0.500 0.500 0.500
Mg: 0.500 0.759 0.258
Mg: 0.500 0.759 0.742
Mg: 0.752 0.248 0.500
Mg: 0.752 0.752 0.500
Mg: 0.753 0.000 0.250
Mg: 0.753 0.000 0.750
Mg: 0.759 0.500 0.258
Mg: 0.759 0.500 0.742
Mg: 0.760 0.240 0.000
Mg: 0.760 0.760 0.000
O: 0.000 0.000 0.263
O: 0.000 0.000 0.737
O: 0.000 0.252 0.500
O: 0.000 0.260 0.000
O: 0.000 0.500 0.255
O: 0.000 0.500 0.745
O: 0.000 0.740 0.000
O: 0.000 0.748 0.500
O: 0.233 0.500 0.000
O: 0.248 0.500 0.500
O: 0.251 0.251 0.250
O: 0.251 0.251 0.750
O: 0.251 0.749 0.250
O: 0.251 0.749 0.750
O: 0.252 0.000 0.500
O: 0.260 0.000 0.000
O: 0.500 0.000 0.255
O: 0.500 0.000 0.745
O: 0.500 0.233 0.000
O: 0.500 0.248 0.500
O: 0.500 0.500 0.268
O: 0.500 0.500 0.732
O: 0.500 0.752 0.500
O: 0.500 0.767 0.000
O: 0.740 0.000 0.000
O: 0.748 0.000 0.500
O: 0.749 0.251 0.250
O: 0.749 0.251 0.750
O: 0.749 0.749 0.250
O: 0.749 0.749 0.750
O: 0.752 0.500 0.500
O: 0.767 0.500 0.000

Output
* density of states at the Fermi level: 0.00 states/eV per cell
* formation energy without anion corrections: -2.949 eV per atom

Material: NaLaMgTeO6
Method: DFT, SCAN
State: PBEsol geometry

Lattice parameters (Å, degrees): 5.572 5.537 7.856 90.00 90.31 90.00
Atoms (fractional coordinates):
Na: 0.235 0.250 0.000
Na: 0.765 0.750 0.000
La: 0.244 0.250 0.502
La: 0.756 0.750 0.498
Mg: 0.252 0.750 0.233
Mg: 0.748 0.250 0.767
Te: 0.256 0.750 0.755
Te: 0.744 0.250 0.245
O: 0.016 0.503 0.765
O: 0.016 0.997 0.765
O: 0.190 0.750 0.505
O: 0.334 0.750 0.987
O: 0.497 0.508 0.697
O: 0.497 0.992 0.697
O: 0.503 0.008 0.303
O: 0.503 0.492 0.303
O: 0.666 0.250 0.013
O: 0.810 0.250 0.495
O: 0.984 0.003 0.235
O: 0.984 0.497 0.235

Output
* density of states at the Fermi level: 0.00 states/eV per cell
* formation energy without anion corrections: -2.452 eV per atom
* excess energy over the best structure of this formula in the dataset: 0 meV/atom

Material: NaLaMgTeO6
Method: DFT, SCAN
State: PBEsol geometry

Lattice parameters (Å, degrees): 5.528 5.528 5.565 120.08 120.08 60.07
Atoms (fractional coordinates):
Na: 0.000 0.000 0.000
La: 0.501 0.501 0.520
Mg: 0.752 0.752 0.262
Te: 0.251 0.251 0.760
O: 0.011 0.011 0.440
O: 0.056 0.539 0.564
O: 0.454 0.962 0.955
O: 0.492 0.492 0.084
O: 0.539 0.056 0.564
O: 0.962 0.454 0.955

Output
* density of states at the Fermi level: 0.00 states/eV per cell
* formation energy without anion corrections: -2.441 eV per atom
* excess energy over the best structure of this formula in the dataset: 12 meV/atom

Material: NaLaMgWO6
Method: DFT, SCAN
State: PBEsol geometry

Lattice parameters (Å, degrees): 5.518 5.518 7.925 90.00 90.00 90.00
Atoms (fractional coordinates):
Na: 0.250 0.750 0.000
Na: 0.750 0.250 0.000
La: 0.250 0.750 0.500
La: 0.750 0.250 0.500
Mg: 0.250 0.250 0.246
Mg: 0.750 0.750 0.754
W: 0.250 0.250 0.758
W: 0.750 0.750 0.242
O: 0.007 0.007 0.729
O: 0.007 0.493 0.729
O: 0.250 0.250 0.504
O: 0.250 0.250 0.990
O: 0.493 0.007 0.729
O: 0.493 0.493 0.729
O: 0.507 0.507 0.271
O: 0.507 0.993 0.271
O: 0.750 0.750 0.010
O: 0.750 0.750 0.496
O: 0.993 0.507 0.271
O: 0.993 0.993 0.271

Output
* density of states at the Fermi level: 0.00 states/eV per cell
* formation energy without anion corrections: -2.883 eV per atom

Material: LaMgNb3
Method: DFT, SCAN
State: PBEsol geometry

Lattice parameters (Å, degrees): 4.877 4.877 4.877 90.00 90.00 90.00
Atoms (fractional coordinates):
La: 0.000 0.000 0.000
Mg: 0.500 0.500 0.500
Nb: 0.000 0.000 0.500
Nb: 0.000 0.500 0.000
Nb: 0.500 0.000 0.000

Output
* density of states at the Fermi level: 3.40 states/eV per cell

Material: LaMgNbSb2
Method: DFT, SCAN
State: PBEsol geometry

Lattice parameters (Å, degrees): 5.894 5.894 5.079 90.00 90.00 90.00
Atoms (fractional coordinates):
La: 0.000 0.000 0.000
Mg: 0.500 0.500 0.500
Nb: 0.000 0.000 0.500
Sb: 0.000 0.500 0.000
Sb: 0.500 0.000 0.000

Output
* density of states at the Fermi level: 5.55 states/eV per cell
* formation energy without anion corrections: 1.194 eV per atom

Material: LaMgNb2Tl
Method: DFT, SCAN
State: PBEsol geometry

Lattice parameters (Å, degrees): 4.923 4.923 5.367 90.00 90.00 90.00
Atoms (fractional coordinates):
La: 0.000 0.000 0.000
Mg: 0.000 0.000 0.500
Nb: 0.000 0.500 0.500
Nb: 0.500 0.000 0.500
Tl: 0.500 0.500 0.000

Output
* density of states at the Fermi level: 3.32 states/eV per cell

Material: LaMgNi2
Method: DFT, SCAN
State: PBEsol geometry

Lattice parameters (Å, degrees): 4.638 4.638 4.638 60.00 60.00 60.00
Atoms (fractional coordinates):
La: 0.000 0.000 0.000
Mg: 0.250 0.250 0.250
Ni: 0.500 0.500 0.500
Ni: 0.750 0.750 0.750

Output
* density of states at the Fermi level: 3.75 states/eV per cell

Material: LaMgNi2S
Method: DFT, SCAN
State: PBEsol geometry

Lattice parameters (Å, degrees): 4.311 4.311 4.845 90.00 90.00 90.00
Atoms (fractional coordinates):
La: 0.000 0.000 0.000
Mg: 0.500 0.500 0.000
Ni: 0.000 0.500 0.500
Ni: 0.500 0.000 0.500
S: 0.500 0.500 0.500

Output
* density of states at the Fermi level: 4.21 states/eV per cell
* formation energy without anion corrections: -0.050 eV per atom

Material: LaMg2O
Method: DFT, SCAN
State: PBEsol geometry

Lattice parameters (Å, degrees): 6.390 6.390 6.390 60.00 60.00 60.00
Atoms (fractional coordinates):
La: 0.125 0.125 0.125
La: 0.875 0.875 0.875
Mg: 0.000 0.500 0.500
Mg: 0.500 0.000 0.500
Mg: 0.500 0.500 0.000
Mg: 0.500 0.500 0.500
O: 0.375 0.375 0.375
O: 0.625 0.625 0.625

Output
* density of states at the Fermi level: 2.62 states/eV per cell
* formation energy without anion corrections: -1.054 eV per atom

Material: Sr2La2MgRuO8
Method: DFT, SCAN
State: PBEsol geometry

Lattice parameters (Å, degrees): 3.838 3.838 12.585 90.00 90.00 90.00
Atoms (fractional coordinates):
Sr: 0.000 0.000 0.145
Sr: 0.000 0.000 0.855
La: 0.500 0.500 0.363
La: 0.500 0.500 0.637
Mg: 0.000 0.000 0.500
Ru: 0.500 0.500 0.000
O: 0.000 0.000 0.330
O: 0.000 0.000 0.670
O: 0.000 0.500 0.000
O: 0.000 0.500 0.500
O: 0.500 0.000 0.000
O: 0.500 0.000 0.500
O: 0.500 0.500 0.166
O: 0.500 0.500 0.834

Output
* density of states at the Fermi level: 1.75 states/eV per cell
* formation energy without anion corrections: -2.910 eV per atom

| no. | total energy (eV per atom) |
| --- | --- |
| 1 | -23.819 |
| 2 | -31.130 |
| 3 | -31.098 |
| 4 | -26.774 |
| 5 | -31.075 |
| 6 | -27.144 |
| 7 | -20.713 |
| 8 | -29.449 |
| 9 | -15.846 |
| 10 | -16.336 |
| 11 | -26.259 |
| 12 | -26.982 |
| 13 | -9.136 |
| 14 | -15.146 |
| 15 | -15.134 |
| 16 | -18.820 |
| 17 | -27.889 |
| 18 | -29.952 |
| 19 | -36.107 |
| 20 | -19.864 |
| 21 | -18.060 |
| 22 | -15.875 |
| 23 | -18.653 |